Record 1
PmTm2Rh | PBE-GGA | relaxed

Geometry as POSCAR:
```
PmTm2Rh
1.0
-1.4583 1.4607 -6.0182
-1.4084 -6.9049 -1.3346
-8.9204 1.3389 2.4865
Pm Tm Rh
4 8 4
direct
0.6354 0.5334 0.2500 Pm
0.8646 0.0334 0.2500 Pm
0.3646 0.4666 0.7500 Pm
0.1354 0.9666 0.7500 Pm
0.1687 0.6763 0.0644 Tm
0.3313 0.1763 0.4356 Tm
0.8313 0.3237 0.5644 Tm
0.6687 0.8237 0.9356 Tm
0.8313 0.3237 0.9356 Tm
0.6687 0.8237 0.5644 Tm
0.1687 0.6763 0.4356 Tm
0.3313 0.1763 0.0644 Tm
0.0693 0.3827 0.2500 Rh
0.4307 0.8827 0.2500 Rh
0.9307 0.6173 0.7500 Rh
0.5693 0.1173 0.7500 Rh
```

Calculated values
Polymorph energy (0 for the lowest one): 0 meV/atom


Record 2
La7Nd3Dy | PBE-GGA | relaxed

Geometry as POSCAR:
```
La7Nd3Dy
1.0
-3.2650 1.5046 4.9123
-5.2710 -1.9357 -6.6634
1.5476 -8.5747 -0.0978
La Nd Dy
7 3 1
direct
0.2108 0.2108 0.2108 La
0.3033 0.0114 0.5956 La
0.6967 0.4044 0.9886 La
0.3033 0.5956 0.0114 La
0.0000 0.5000 0.5000 La
0.6967 0.9886 0.4044 La
0.7892 0.7892 0.7892 La
0.0000 0.7919 0.2081 Nd
0.5000 0.0000 0.0000 Nd
0.0000 0.2081 0.7919 Nd
0.5000 0.5000 0.5000 Dy
```


Number 1: energy relative to the elements -0.53 eV per atom. Number 2: energy relative to the elements 0.20 eV per atom.